ZnFe2O4: relaxed, PBE+U.

Summary:
E_tot in Ha/atom: -0.2097
Spin magnetization in μB/atom: 0.714
E above lowest polymorph in eV per atom: 0.2710

Cell: 5.998 5.099 10.599 Å, 90.00 90.01 90.69°
Positions (direct):
Zn: 0.501 0.984 0.777
Zn: 0.999 0.016 0.277
Zn: 0.494 0.628 0.226
Zn: 0.006 0.372 0.726
Fe: 0.000 0.353 0.488
Fe: 0.000 0.656 0.000
Fe: 0.500 0.344 0.500
Fe: 0.500 0.647 0.988
Fe: 0.758 0.851 0.505
Fe: 0.259 0.146 0.008
Fe: 0.241 0.854 0.508
Fe: 0.742 0.149 0.005
O: 0.002 0.705 0.403
O: 0.000 0.987 0.098
O: 0.500 0.013 0.598
O: 0.498 0.295 0.902
O: 0.998 0.059 0.606
O: 0.999 0.339 0.902
O: 0.501 0.661 0.402
O: 0.502 0.941 0.106
O: 0.759 0.510 0.592
O: 0.257 0.827 0.901
O: 0.243 0.173 0.401
O: 0.741 0.490 0.092
O: 0.767 0.164 0.395
O: 0.271 0.481 0.098
O: 0.229 0.519 0.598
O: 0.733 0.836 0.895